Record 1
Entry from Alexandria: a geometry-optimized LaErTm2As4 structure (PBE).

Structure (POSCAR):
```
LaErTm2As4
1.0
4.153 0.000 0.000
0.000 7.182 -0.142
0.000 2.526 6.727
As Tm Er La
4 2 1 1
Direct
0.000 0.762 0.739
0.500 0.243 0.745
0.500 0.757 0.255
0.000 0.238 0.261
0.000 0.000 0.000
0.500 0.000 0.500
0.000 0.500 0.500
0.500 0.500 0.000
```

## Properties
Total magnetic moment   0.000 μB per atom
E_form   -1.50 eV/atom

=====

Record 2
Entry from Alexandria: a geometry-optimized La2ErTmAs4 structure (PBE).

Structure (POSCAR):
```
La2ErTmAs4
1.0
-0.043 4.209 0.422
-7.290 -0.027 -0.469
-2.878 -0.701 6.697
La As Tm Er
2 4 1 1
Direct
0.000 0.000 0.000
0.500 0.000 0.500
0.000 0.266 0.245
0.500 0.733 0.256
0.000 0.734 0.755
0.500 0.267 0.744
0.000 0.500 0.500
0.500 0.500 0.000
```

## Properties
Total magnetic moment   0.000 μB per atom
E_form   -1.53 eV/atom

=====

Record 3
Entry from Alexandria: a geometry-optimized La2ErUAs4 structure (PBE).

Structure (POSCAR):
```
La2ErUAs4
1.0
4.209 0.000 0.000
0.000 7.294 0.136
0.000 -2.541 6.890
As La Er U
4 2 1 1
Direct
0.000 0.742 0.231
0.500 0.247 0.231
0.500 0.753 0.769
0.000 0.258 0.769
0.500 0.000 0.500
0.000 0.500 0.500
0.000 0.000 0.000
0.500 0.500 0.000
```

## Properties
Total magnetic moment   0.285 μB per atom
E_form   -1.33 eV/atom

=====

Record 4
Entry from Alexandria: a geometry-optimized La2YEr3As6 structure (PBE).

Structure (POSCAR):
```
La2YEr3As6
1.0
4.193 0.000 0.000
0.000 8.372 0.304
-2.097 -2.407 8.803
Er La Y As
3 2 1 6
Direct
0.833 0.166 0.666
0.500 0.500 0.000
0.167 0.834 0.334
0.165 0.331 0.330
0.835 0.669 0.670
0.500 0.000 0.000
0.337 0.408 0.674
0.004 0.751 0.008
0.667 0.072 0.333
0.333 0.928 0.667
0.663 0.592 0.326
0.996 0.249 0.992
```

## Properties
Total magnetic moment   0.000 μB per atom
E_form   -1.53 eV/atom

=====

Record 5
Entry from Alexandria: a geometry-optimized La3Y2ErAs6 structure (PBE).

Structure (POSCAR):
```
La3Y2ErAs6
1.0
-1.568 -1.367 -7.055
-4.597 -2.236 5.288
-1.344 7.215 0.178
La As Y Er
3 6 2 1
Direct
0.167 0.833 0.500
0.833 0.167 0.500
0.500 0.500 0.500
0.589 0.921 0.764
0.411 0.079 0.236
0.079 0.411 0.236
0.921 0.589 0.764
0.747 0.747 0.237
0.253 0.253 0.763
0.333 0.667 0.000
0.667 0.333 0.000
0.000 0.000 0.000
```

## Properties
Total magnetic moment   0.000 μB per atom
E_form   -1.55 eV/atom

=====

Record 6
Entry from Alexandria: a geometry-optimized La2YErAs4 structure (PBE).

Structure (POSCAR):
```
La2YErAs4
1.0
-1.080 -2.541 3.224
2.427 -5.810 -3.766
7.108 -1.108 1.507
As Y Er La
4 1 1 2
Direct
0.500 0.735 0.256
0.000 0.264 0.247
0.000 0.736 0.753
0.500 0.265 0.744
0.500 0.500 0.000
0.000 0.500 0.500
0.500 0.000 0.500
0.000 0.000 0.000
```

## Properties
Total magnetic moment   0.000 μB per atom
E_form   -1.55 eV/atom

=====

Record 7
Entry from Alexandria: a geometry-optimized LaY2ErAs4 structure (PBE).

Structure (POSCAR):
```
LaY2ErAs4
1.0
-1.417 -2.244 -3.233
5.848 1.846 -3.845
5.235 -4.875 1.088
Y As Er La
2 4 1 1
Direct
0.000 0.000 0.000
0.500 0.000 0.500
0.000 0.248 0.244
0.000 0.752 0.756
0.500 0.758 0.240
0.500 0.242 0.760
0.500 0.500 0.000
0.000 0.500 0.500
```

## Properties
Total magnetic moment   0.000 μB per atom
E_form   -1.53 eV/atom

=====

Record 8
Entry from Alexandria: a geometry-optimized La3YEr2As6 structure (PBE).

Structure (POSCAR):
```
La3YEr2As6
1.0
7.344 -0.001 0.001
-3.671 6.361 0.001
-1.225 -2.120 6.908
La As Er Y
3 6 2 1
Direct
0.500 0.500 0.500
0.166 0.834 0.500
0.834 0.166 0.500
0.587 0.922 0.765
0.743 0.743 0.235
0.922 0.587 0.765
0.413 0.078 0.235
0.257 0.257 0.765
0.078 0.413 0.235
0.333 0.667 0.000
0.667 0.333 0.000
0.000 0.000 0.000
```

## Properties
Total magnetic moment   0.000 μB per atom
E_form   -1.54 eV/atom